4
Lattice="3.786 -2.188 0.000 3.786 2.188 0.000 -2.530 0.000 7.369" Properties=species:S:1:pos:R:3 comment="SrCaZnIr (GGA-PBE, relaxed)" crystal_system=monoclinic ef_ev_per_atom=-0.32 dos_ef_per_ev_atom=0.791 total_magnetization_mub_per_cell=0.00 energy_ev_per_atom=-3.7761 pbc="T T T"
Sr 0.000 0.000 0.000
Ca 0.001 0.000 3.720
Zn 2.525 0.000 2.004
Ir 5.050 0.000 1.996